## GeTeI2O (PBE)

Data for crystalline GeTeI2O at its relaxed geometry.

Cell lengths 5.5769, 5.5769, 5.5036 Å; angles 90.00, 90.00, 90.00 degrees
Last column: nearest neighbours and their distance in Å.
Element x y z (fractional)
I 0.0000 0.5000 0.0000  2 Ge 2.79
I 0.5000 0.0000 0.0000  2 Ge 2.79
Ge 0.0000 0.0000 0.0000  2 Te 2.75, 4 I 2.79
Te 0.0000 0.0000 0.5000  2 Ge 2.75
O 0.5000 0.5000 0.5000  8 I 3.92, 4 Te 3.94

Calculated values
As for the space-group type: P4/mmm. For the total energy, the calculation gives -11.25 eV per formula unit. Its formation energy from raw total energies is 914 meV per atom. For the energy relative to the lowest polymorph listed for this composition, the calculation gives 0.970 eV per atom.